A relaxed EuDyO2 crystal. Source: Alexandria via LeMat-Bulk, functional PBE-GGA.

Results
- Fermi-level density of states (states/eV/atom) = 0.3250
- E_tot (eV/atom) = -9.0360
- formation energy (no corrections) (eV per atom) = -2.838

Cell: 3.4683 3.4683 17.6161 Å, 90.00 90.00 120.00°
Last column: nearest neighbours and their distance in Å.
Space group R-3m (No. 166, hexagonal axes)
Asymmetric unit:
Eu 0.0000 0.0000 0.0000 [3 per cell]  6 O 2.63
Dy 0.0000 0.0000 0.5000 [3 per cell]  6 O 2.35
O 0.0000 0.0000 0.2368 [6 per cell]  3 Dy 2.35, 3 Eu 2.63